<1>
First-principles (GGA-PBE) data for a relaxed structure of La2ScIr, as listed in Alexandria via LeMat-Bulk.

abc: 7.249 7.249 7.249
angles: 90.00 90.00 90.00
Space group F-43m (No. 216)
Asymmetric unit:
La: 0.000 0.000 0.000 (multiplicity 4)
La: 0.250 0.250 0.250 (multiplicity 4)
Sc: 0.000 0.000 0.500 (multiplicity 4)
Ir: 0.250 0.250 0.750 (multiplicity 4)

## Properties
Magnetization in μB per formula unit: 0.51

---

<2>
First-principles (GGA-PBE) data for a relaxed structure of La2ScIr, as listed in Alexandria via LeMat-Bulk.

abc: 4.284 4.058 6.481
angles: 90.00 101.33 90.00
Space group P2/m (No. 10)
Asymmetric unit:
La: 0.115 0.000 0.285 (multiplicity 2)
Sc: 0.500 0.500 0.000 (multiplicity 1)
Ir: 0.500 0.500 0.500 (multiplicity 1)

## Properties
Magnetization in μB per formula unit: 0.00

---

Most stable: <2>

---

<1>
First-principles (GGA-PBE) data for a relaxed structure of AgTe2Mo, as listed in Alexandria via LeMat-Bulk.

abc: 3.0637 3.0637 35.0300
angles: 90.00 90.00 120.00
Space group R-3m (No. 166, hexagonal axes)
Asymmetric unit:
Ag: 0.0000 0.0000 0.0000 (multiplicity 3)
Te: 0.0000 0.0000 0.4213 (multiplicity 6)
Mo: 0.0000 0.0000 0.5000 (multiplicity 3)

## Properties
Magnetization in μB per formula unit: 0.00

---

<2>
First-principles (GGA-PBE) data for a relaxed structure of AgTe2Mo, as listed in Alexandria via LeMat-Bulk.

abc: 3.383 5.313 10.580
angles: 90.00 90.00 90.00
Space group Cmmm (No. 65)
Asymmetric unit:
Ag: 0.000 0.000 0.000 (multiplicity 2)
Te: 0.000 0.500 0.293 (multiplicity 4)
Mo: 0.000 0.000 0.500 (multiplicity 2)

## Properties
Magnetization in μB per formula unit: 0.00

---

Most stable: <2>

---

<1>
First-principles (GGA-PBE) data for a relaxed structure of BeTl3, as listed in Alexandria via LeMat-Bulk.

abc: 4.307 5.274 8.908
angles: 90.00 90.00 90.00
Space group Cmmm (No. 65)
Asymmetric unit:
Be: 0.000 0.000 0.000 (multiplicity 2)
Tl: 0.000 0.000 0.500 (multiplicity 2)
Tl: 0.000 0.500 0.193 (multiplicity 4)

## Properties
Magnetization in μB per formula unit: 0.00

---

<2>
First-principles (GGA-PBE) data for a relaxed structure of BeTl3, as listed in Alexandria via LeMat-Bulk.

abc: 8.6033 8.6033 3.4938
angles: 90.00 90.00 120.00
Space group P6_3/mmc (No. 194)
Asymmetric unit:
Be: 0.3333 0.6667 0.2500 (multiplicity 2)
Tl: 0.1923 0.3846 0.7500 (multiplicity 6)

## Properties
Magnetization in μB per formula unit: 0.00

---

Most stable: <1>

---

<1>
First-principles (GGA-PBE) data for a relaxed structure of KCd2Ag, as listed in Alexandria via LeMat-Bulk.

abc: 3.125 5.754 11.720
angles: 90.00 90.00 90.00
Space group Immm (No. 71)
Asymmetric unit:
K: 0.000 0.000 0.000 (multiplicity 2)
Cd: 0.000 0.500 0.209 (multiplicity 4)
Ag: 0.000 0.000 0.500 (multiplicity 2)

## Properties
Magnetization in μB per formula unit: 0.00

---

<2>
First-principles (GGA-PBE) data for a relaxed structure of KCd2Ag, as listed in Alexandria via LeMat-Bulk.

abc: 6.348 10.862 3.082
angles: 90.00 90.00 90.00
Space group Cmmm (No. 65)
Asymmetric unit:
K: 0.000 0.000 0.000 (multiplicity 2)
Cd: 0.250 0.250 0.500 (multiplicity 4)
Ag: 0.000 0.500 0.000 (multiplicity 2)

## Properties
Magnetization in μB per formula unit: 0.00

---

Most stable: <1>

---

<1>
First-principles (GGA-PBE) data for a relaxed structure of ZnAg2O4, as listed in Alexandria via LeMat-Bulk.

abc: 6.525 6.792 7.970
angles: 90.00 90.00 90.00
Space group Imma (No. 74)
Asymmetric unit:
Zn: 0.250 0.250 0.250 (multiplicity 4)
Ag: 0.000 0.000 0.000 (multiplicity 4)
Ag: 0.000 0.250 0.653 (multiplicity 4)
O: 0.000 0.052 0.258 (multiplicity 8)
O: 0.205 0.250 0.982 (multiplicity 8)

## Properties
Magnetization in μB per formula unit: 0.00

---

<2>
First-principles (GGA-PBE) data for a relaxed structure of ZnAg2O4, as listed in Alexandria via LeMat-Bulk.

abc: 3.089 10.630 9.926
angles: 90.00 90.00 90.00
Space group Cmcm (No. 63)
Asymmetric unit:
Zn: 0.000 0.110 0.250 (multiplicity 4)
Ag: 0.000 0.369 0.072 (multiplicity 8)
O: 0.000 0.000 0.000 (multiplicity 4)
O: 0.000 0.289 0.621 (multiplicity 8)
O: 0.000 0.475 0.250 (multiplicity 4)

## Properties
Magnetization in μB per formula unit: 0.00

---

Most stable: <1>

---

<1>
First-principles (GGA-PBE) data for a relaxed structure of SrScS2, as listed in Alexandria via LeMat-Bulk.

abc: 3.9125 3.9125 25.2428
angles: 90.00 90.00 120.00
Space group R-3m (No. 166, hexagonal axes)
Asymmetric unit:
Sr: 0.0000 0.0000 0.0000 (multiplicity 3)
Sc: 0.0000 0.0000 0.5000 (multiplicity 3)
S: 0.0000 0.0000 0.1132 (multiplicity 6)

## Properties
Magnetization in μB per formula unit: 0.29

---

<2>
First-principles (GGA-PBE) data for a relaxed structure of SrScS2, as listed in Alexandria via LeMat-Bulk.

abc: 4.3819 4.3819 23.5732
angles: 90.00 90.00 120.00
Space group R-3m (No. 166, hexagonal axes)
Asymmetric unit:
Sr: 0.0000 0.0000 0.0000 (multiplicity 3)
Sc: 0.0000 0.0000 0.5000 (multiplicity 3)
S: 0.0000 0.0000 0.4002 (multiplicity 6)

## Properties
Magnetization in μB per formula unit: 0.00

---

Most stable: <1>